1.
Ba2CdGeS6: optimized geometry, PBE-GGA.

a b c (Å): 7.0531 7.0531 7.0531
angles (deg): 120.00 120.00 60.00
Sites, in units of the cell vectors:
1 Ba 0.7500 0.7500 0.2500
2 Ba 0.2500 0.2500 0.7500
3 S 0.2381 0.7619 0.2381
4 S 0.2381 0.2381 0.2381
5 S 0.7619 0.2381 0.7619
6 S 0.7619 0.7619 0.7619
7 S 0.2381 0.7619 0.7619
8 S 0.7619 0.2381 0.2381
9 Cd 0.5000 0.5000 0.5000
10 Ge 0.0000 0.0000 0.0000

## Properties
For the total energy, the calculation gives -4.20 eV/atom.


2.
Ba2Cd3P4H2O16: optimized geometry, PBE-GGA.

a b c (Å): 8.0664 9.1383 9.8287
angles (deg): 90.00 100.70 90.00
Sites, in units of the cell vectors:
1 O 0.7476 0.6221 0.4690
2 O 0.0563 0.6727 0.3550
3 O 0.9315 0.3992 0.8951
4 O 0.9437 0.1727 0.1450
5 O 0.5475 0.3369 0.4782
6 O 0.0685 0.6008 0.1049
7 O 0.9315 0.1008 0.3951
8 O 0.6503 0.6223 0.0041
9 O 0.2524 0.1221 0.0310
10 O 0.6661 0.3249 0.7285
11 O 0.3339 0.6751 0.2715
12 O 0.3497 0.3777 0.9959
13 O 0.6896 0.7986 0.2097
14 O 0.5475 0.1631 0.9782
15 O 0.3497 0.1223 0.4959
16 O 0.3104 0.2014 0.7903
17 O 0.6896 0.7014 0.7097
18 O 0.1094 0.8654 0.1917
19 O 0.2524 0.3779 0.5310
20 O 0.4525 0.8369 0.0218
21 O 0.3104 0.2986 0.2903
22 O 0.6661 0.1751 0.2285
23 O 0.9437 0.3273 0.6450
24 O 0.4525 0.6631 0.5218
25 O 0.3339 0.8249 0.7715
26 O 0.8906 0.3654 0.3083
27 O 0.7476 0.8779 0.9690
28 O 0.0685 0.8992 0.6049
29 O 0.6503 0.8777 0.5041
30 O 0.0563 0.8273 0.8550
31 O 0.1094 0.6346 0.6917
32 O 0.8906 0.1346 0.8083
33 H 0.6077 0.1663 0.0830
34 H 0.6077 0.3337 0.5830
35 H 0.3923 0.6663 0.4170
36 H 0.3923 0.8337 0.9170
37 P 0.3562 0.2160 0.9482
38 P 0.8593 0.2981 0.7718
39 P 0.1407 0.7981 0.7282
40 P 0.6438 0.7160 0.5518
41 P 0.3562 0.2840 0.4482
42 P 0.1407 0.7019 0.2282
43 P 0.6438 0.7840 0.0518
44 P 0.8593 0.2019 0.2718
45 Cd 0.1068 0.3598 0.1077
46 Cd 0.0000 0.5000 0.5000
47 Cd 0.8932 0.6402 0.8923
48 Cd 0.8932 0.8598 0.3923
49 Cd 0.0000 0.0000 0.0000
50 Cd 0.1068 0.1402 0.6077
51 Ba 0.4231 0.5201 0.7677
52 Ba 0.5769 0.0201 0.7323
53 Ba 0.4231 0.9799 0.2677
54 Ba 0.5769 0.4799 0.2323

## Properties
For the total energy, the calculation gives -6.36 eV/atom.


3.
Ba2CdP4H6O16: optimized geometry, PBE-GGA.

a b c (Å): 5.4017 10.0558 12.2532
angles (deg): 90.00 100.41 90.00
Sites, in units of the cell vectors:
1 O 0.5235 0.2622 0.9796
2 O 0.1672 0.5151 0.3453
3 O 0.1611 0.1935 0.3205
4 O 0.5128 0.3376 0.7139
5 O 0.5235 0.2378 0.4796
6 O 0.6338 0.0600 0.8757
7 O 0.9308 0.7260 0.4912
8 O 0.7603 0.5436 0.0168
9 O 0.8389 0.6935 0.1795
10 O 0.4765 0.7378 0.0204
11 O 0.1672 0.9849 0.8453
12 O 0.2397 0.0436 0.4832
13 O 0.7603 0.9564 0.5168
14 O 0.3728 0.0569 0.6861
15 O 0.6272 0.5569 0.8139
16 O 0.4872 0.6624 0.2861
17 O 0.0692 0.2260 0.0088
18 O 0.9308 0.7740 0.9912
19 O 0.2397 0.4564 0.9832
20 O 0.8328 0.0151 0.1547
21 O 0.3662 0.5600 0.6243
22 O 0.3728 0.4431 0.1861
23 O 0.4872 0.8376 0.7861
24 O 0.0692 0.2740 0.5088
25 O 0.8389 0.8065 0.6795
26 O 0.4765 0.7622 0.5204
27 O 0.6338 0.4400 0.3757
28 O 0.8328 0.4849 0.6547
29 O 0.5128 0.1624 0.2139
30 O 0.6272 0.9431 0.3139
31 O 0.1611 0.3065 0.8205
32 O 0.3662 0.9400 0.1243
33 H 0.4296 0.6798 0.5640
34 H 0.5704 0.3202 0.4360
35 H 0.4296 0.8202 0.0640
36 H 0.7041 0.5314 0.9313
37 H 0.2959 0.0314 0.5687
38 H 0.6322 0.6763 0.2417
39 H 0.5704 0.1798 0.9360
40 H 0.6322 0.8237 0.7417
41 H 0.3678 0.3237 0.7583
42 H 0.7041 0.9686 0.4313
43 H 0.3678 0.1763 0.2583
44 H 0.2959 0.4686 0.0687
45 P 0.2382 0.1943 0.4464
46 P 0.7618 0.8057 0.5536
47 P 0.4127 0.5118 0.3003
48 P 0.2382 0.3057 0.9464
49 P 0.5873 0.4882 0.6997
50 P 0.4127 0.9882 0.8003
51 P 0.7618 0.6943 0.0536
52 P 0.5873 0.0118 0.1997
53 Ba 0.1406 0.6559 0.8253
54 Ba 0.8594 0.1559 0.6747
55 Ba 0.1406 0.8441 0.3253
56 Ba 0.8594 0.3441 0.1747
57 Cd 0.0000 0.5000 0.5000
58 Cd 0.0000 0.0000 0.0000

## Properties
For the total energy, the calculation gives -6.35 eV/atom.


4.
Ba2HfCd: optimized geometry, PBE-GGA.

a b c (Å): 5.7289 5.7289 5.7289
angles (deg): 60.00 60.00 60.00
Site moments in Bohr magnetons follow the coordinates.
Sites, in units of the cell vectors:
1 Hf 0.5000 0.5000 0.5000  0.89
2 Cd 0.7500 0.7500 0.7500  0.00
3 Ba 0.2500 0.2500 0.2500  0.21
4 Ba 0.0000 0.0000 0.0000  0.11

## Properties
Its total moment is 0.54 μB/atom. For the total energy, the calculation gives -3.14 eV/atom.